Entry 1:
Sr2CoHgN after structural relaxation, computed with PBE.

Geometry as POSCAR:
```
Sr2CoHgN
1.0
-3.148 -2.492 -3.795
4.143 -3.467 -1.160
-1.210 -2.284 2.504
Hg N Co Sr
1 1 1 2
direct
0.500 0.500 0.500
0.000 0.000 0.000
0.000 0.000 0.500
0.000 0.500 0.000
0.500 0.000 0.000
```

As for the crystal system: tetragonal. Its symmetry is P4/mmm, No. 123. Its energy relative to the elements, uncorrected is -0.4681 eV/atom.

---

Entry 2:
Mg2SiP after structural relaxation, computed with PBE.

Geometry as POSCAR:
```
Mg2SiP
1.0
4.614 0.000 0.000
0.000 2.904 0.038
0.000 1.342 5.332
Si Mg P
1 2 1
direct
0.500 0.526 0.807
0.500 0.277 0.335
0.000 0.969 0.922
0.000 0.728 0.437
```

As for the crystal system: monoclinic. Its symmetry is Pm, No. 6. Its energy relative to the elements, uncorrected is 0.0059 eV/atom. As for the distance to the lowest polymorph of the same formula: 46 meV/atom.

---

Entry 3:
CsHf3B after structural relaxation, computed with PBE.

Geometry as POSCAR:
```
CsHf3B
1.0
5.223 0.000 0.000
0.000 5.223 0.000
0.000 0.000 5.223
Hf Cs B
3 1 1
direct
0.000 0.500 0.000
0.500 0.000 0.000
0.000 0.000 0.500
0.000 0.000 0.000
0.500 0.500 0.500
```

As for the crystal system: cubic. Its symmetry is Pm-3m, No. 221. The calculation puts the energy of formation at 3.23 eV per atom. As for the distance to the lowest polymorph of the same formula: 2405 meV/atom.

---

Entry 4:
Li4Ac2Tl3Zn after structural relaxation, computed with PBE.

Geometry as POSCAR:
```
Li4Ac2Tl3Zn
1.0
4.944 0.000 0.000
0.000 4.944 0.000
0.000 0.000 10.192
Ac Tl Zn Li
2 3 1 4
direct
0.500 0.000 0.254
0.000 0.500 0.746
0.000 0.000 0.500
0.500 0.000 0.873
0.000 0.500 0.127
0.500 0.500 0.500
0.000 0.500 0.386
0.500 0.000 0.614
0.500 0.500 0.000
0.000 0.000 0.000
```

As for the crystal system: tetragonal. Its symmetry is P-4m2, No. 115. The calculation puts the energy of formation at -0.23 eV per atom.

---

Entry 5:
TiCoReMo after structural relaxation, computed with PBE.

Geometry as POSCAR:
```
TiCoReMo
1.0
-3.428 2.668 -0.126
-3.998 -1.622 -0.518
-2.819 0.073 3.306
Mo Re Co Ti
1 1 1 1
direct
0.250 0.250 0.250
0.000 0.000 0.000
0.500 0.500 0.500
0.750 0.750 0.750
```

As for the crystal system: cubic. Its symmetry is F-43m, No. 216. The calculation puts the energy of formation at -0.17 eV per atom.

---

Entry 6:
Tc3B2W after structural relaxation, computed with PBE.

Geometry as POSCAR:
```
Tc3B2W
1.0
5.344 0.000 0.000
-2.672 4.555 -1.485
0.000 -0.015 5.969
B Tc W
4 6 2
direct
0.395 0.795 0.449
0.399 0.795 0.949
0.605 0.205 0.551
0.601 0.205 0.051
0.223 0.441 0.110
0.782 0.559 0.390
0.777 0.559 0.890
0.753 0.000 0.250
0.218 0.441 0.610
0.247 0.000 0.750
0.774 0.000 0.750
0.226 0.000 0.250
```

As for the crystal system: monoclinic. Its symmetry is C2/c, No. 15. The calculation puts the energy of formation at -0.17 eV per atom.

---

Entry 7:
Ce3Np4N12 after structural relaxation, computed with PBE.

Geometry as POSCAR:
```
Ce3Np4N12
1.0
6.771 0.000 -2.394
-3.385 5.864 -2.394
0.000 0.000 7.181
N Np Ce
12 4 3
direct
0.784 0.309 0.093
0.216 0.691 0.907
0.309 0.525 0.216
0.475 0.784 0.691
0.907 0.216 0.691
0.784 0.691 0.475
0.309 0.093 0.784
0.093 0.784 0.309
0.691 0.475 0.784
0.216 0.309 0.525
0.691 0.907 0.216
0.525 0.216 0.309
0.500 0.500 0.500
0.000 0.500 0.000
0.000 0.000 0.500
0.500 0.000 0.000
0.500 0.000 0.500
0.000 0.500 0.500
0.500 0.500 0.000
```

As for the crystal system: cubic. Its symmetry is Im-3, No. 204. Its energy relative to the elements, uncorrected is -1.0489 eV/atom.

---

Entry 8:
La4Co after structural relaxation, computed with PBE.

Geometry as POSCAR:
```
La4Co
1.0
-2.028 2.028 10.059
2.028 -2.028 10.059
2.028 2.028 -10.059
La Co
4 1
direct
0.423 0.423 0.000
0.750 0.250 0.500
0.250 0.750 0.500
0.577 0.577 0.000
0.000 0.000 0.000
```

As for the crystal system: tetragonal. Its symmetry is I4/mmm, No. 139. The calculation puts the energy of formation at 0.56 eV per atom. As for the distance to the lowest polymorph of the same formula: 665 meV/atom.

---

Entry 9:
K3W after structural relaxation, computed with PBE.

Geometry as POSCAR:
```
K3W
1.0
4.113 -7.123 0.000
4.113 7.123 0.000
0.000 0.000 6.415
K W
6 2
direct
0.178 0.357 0.750
0.178 0.822 0.750
0.357 0.178 0.250
0.822 0.643 0.250
0.822 0.178 0.250
0.643 0.822 0.750
0.333 0.667 0.250
0.667 0.333 0.750
```

As for the crystal system: hexagonal. Its symmetry is P6_3/mmc, No. 194. The calculation puts the energy of formation at 1.48 eV per atom. As for the distance to the lowest polymorph of the same formula: 591 meV/atom.

---

Entry 10:
UPaGaTc after structural relaxation, computed with PBE.

Geometry as POSCAR:
```
UPaGaTc
1.0
-1.339 2.879 3.566
2.215 -0.240 4.223
2.862 3.556 1.400
U Pa Ga Tc
1 1 1 1
direct
0.500 0.500 0.500
0.750 0.750 0.750
0.250 0.250 0.250
0.000 0.000 0.000
```

As for the crystal system: cubic. Its symmetry is F-43m, No. 216. The calculation puts the energy of formation at -0.05 eV per atom.

---

Entry 11:
InGe3Ir3 after structural relaxation, computed with PBE.

Geometry as POSCAR:
```
InGe3Ir3
1.0
-5.183 0.989 -5.655
-4.944 -4.641 3.720
-2.918 6.108 3.742
Ge Ir In
12 12 4
direct
0.379 0.621 0.121
0.297 0.797 0.703
0.703 0.297 0.797
0.666 0.666 0.666
0.166 0.834 0.334
0.121 0.379 0.621
0.834 0.334 0.166
0.797 0.703 0.297
0.203 0.203 0.203
0.879 0.879 0.879
0.621 0.121 0.379
0.334 0.166 0.834
0.006 0.203 0.902
0.098 0.506 0.297
0.598 0.994 0.703
0.797 0.402 0.494
0.297 0.098 0.506
0.994 0.703 0.598
0.203 0.902 0.006
0.902 0.006 0.203
0.402 0.494 0.797
0.506 0.297 0.098
0.703 0.598 0.994
0.494 0.797 0.402
0.058 0.558 0.942
0.442 0.442 0.442
0.942 0.058 0.558
0.558 0.942 0.058
```

As for the crystal system: cubic. Its symmetry is P2_13, No. 198. The calculation puts the energy of formation at 0.03 eV per atom.

---

Entry 12:
HoScZnCd after structural relaxation, computed with PBE.

Geometry as POSCAR:
```
HoScZnCd
1.0
-0.103 4.978 0.669
-4.116 2.200 1.858
0.053 1.912 4.645
Cd Ho Zn Sc
1 1 1 1
direct
0.500 0.500 0.500
0.750 0.750 0.750
0.000 0.000 0.000
0.250 0.250 0.250
```

As for the crystal system: cubic. Its symmetry is F-43m, No. 216. The calculation puts the energy of formation at -0.30 eV per atom. As for the distance to the lowest polymorph of the same formula: 26 meV/atom.

---

Entry 13:
TiHg2Pd2 after structural relaxation, computed with PBE.

Geometry as POSCAR:
```
TiHg2Pd2
1.0
-3.824 -3.636 -5.757
2.450 -6.896 2.727
-2.500 -0.185 1.778
Pd Ti Hg
4 2 4
direct
0.170 0.670 0.500
0.330 0.170 0.500
0.830 0.330 0.500
0.670 0.830 0.500
0.000 0.000 0.000
0.500 0.500 0.000
0.369 0.869 0.000
0.631 0.131 0.000
0.869 0.631 0.000
0.131 0.369 0.000
```

As for the crystal system: tetragonal. Its symmetry is P4/mbm, No. 127. The calculation puts the energy of formation at 0.05 eV per atom. As for the distance to the lowest polymorph of the same formula: 162 meV/atom.

---

Entry 14:
Cs3NbTc after structural relaxation, computed with PBE.

Geometry as POSCAR:
```
Cs3NbTc
1.0
-1.834 4.518 -3.527
0.081 -3.683 -4.759
-5.731 -1.498 1.061
Cs Nb Tc
3 1 1
direct
0.000 0.000 0.500
0.000 0.500 0.000
0.500 0.000 0.000
0.500 0.500 0.500
0.000 0.000 0.000
```

As for the crystal system: cubic. Its symmetry is Pm-3m, No. 221. The calculation puts the energy of formation at 2.32 eV per atom.

---

Entry 15:
RbNa3Tl9 after structural relaxation, computed with PBE.

Geometry as POSCAR:
```
RbNa3Tl9
1.0
5.916 0.127 2.401
2.985 8.051 1.212
-0.059 0.064 8.634
Na Tl Rb
3 9 1
direct
0.500 0.500 0.000
0.000 0.000 0.500
0.500 0.000 0.500
0.499 0.224 0.776
0.501 0.776 0.224
0.000 0.500 0.000
0.274 0.224 0.224
0.373 0.644 0.641
0.014 0.644 0.359
0.627 0.356 0.359
0.986 0.356 0.641
0.726 0.776 0.776
0.000 0.000 0.000
```

As for the crystal system: monoclinic. Its symmetry is C2/m, No. 12. The calculation puts the energy of formation at -0.07 eV per atom.

---

Entry 16:
Ac2CeBrO4 after structural relaxation, computed with PBE.

Geometry as POSCAR:
```
Ac2CeBrO4
1.0
4.169 0.000 0.000
0.000 4.169 0.000
0.000 0.000 9.743
Ce O Br Ac
1 4 1 2
direct
0.000 0.000 0.000
0.000 0.500 0.853
0.500 0.000 0.147
0.000 0.500 0.147
0.500 0.000 0.853
0.000 0.000 0.500
0.500 0.500 0.264
0.500 0.500 0.736
```

As for the crystal system: tetragonal. Its symmetry is P4/mmm, No. 123. Its energy relative to the elements, uncorrected is -3.1337 eV/atom.

---

Entry 17:
BeCd2BiMo after structural relaxation, computed with PBE.

Geometry as POSCAR:
```
BeCd2BiMo
1.0
5.441 0.000 0.000
0.000 5.260 0.000
0.000 0.000 5.441
Mo Be Cd Bi
1 1 2 1
direct
0.000 0.000 0.000
0.500 0.500 0.500
0.000 0.000 0.500
0.500 0.000 0.000
0.000 0.500 0.000
```

As for the crystal system: tetragonal. Its symmetry is P4/mmm, No. 123. The calculation puts the energy of formation at 1.22 eV per atom.

---

Entry 18:
VIn2Ir2 after structural relaxation, computed with PBE.

Geometry as POSCAR:
```
VIn2Ir2
1.0
6.534 0.000 0.000
0.000 6.534 0.000
0.000 0.000 4.224
In Ir V
4 4 2
direct
0.829 0.329 0.500
0.671 0.829 0.500
0.329 0.171 0.500
0.171 0.671 0.500
0.640 0.140 0.000
0.860 0.640 0.000
0.140 0.360 0.000
0.360 0.860 0.000
0.000 0.000 0.000
0.500 0.500 0.000
```

As for the crystal system: tetragonal. Its symmetry is P4/mbm, No. 127. The calculation puts the energy of formation at -0.02 eV per atom.

---

Entry 19:
Zr2TcHgB after structural relaxation, computed with PBE.

Geometry as POSCAR:
```
Zr2TcHgB
1.0
-2.557 3.549 -1.761
-2.209 -3.017 -2.873
-2.837 -0.632 2.846
Tc Zr B Hg
1 2 1 1
direct
0.000 0.000 0.500
0.500 0.000 0.000
0.000 0.500 0.000
0.000 0.000 0.000
0.500 0.500 0.500
```

As for the crystal system: tetragonal. Its symmetry is P4/mmm, No. 123. The calculation puts the energy of formation at -0.25 eV per atom.

---

Entry 20:
BaTaB2O8 after structural relaxation, computed with PBE.

Geometry as POSCAR:
```
BaTaB2O8
1.0
-0.210 4.772 1.825
-0.943 -3.963 3.090
7.202 -0.351 1.746
Ba O B Ta
1 8 2 1
direct
0.000 0.000 0.000
0.667 0.333 0.081
0.644 0.822 0.660
0.178 0.822 0.660
0.178 0.356 0.660
0.356 0.178 0.340
0.822 0.644 0.340
0.333 0.667 0.919
0.822 0.178 0.340
0.667 0.333 0.277
0.333 0.667 0.723
0.000 0.000 0.500
```

As for the crystal system: trigonal. Its symmetry is P-3m1, No. 164. Its energy relative to the elements, uncorrected is -2.1672 eV/atom.

---

Calculated Fermi-level density of states (states/eV/f.u.), listed in the same order as above: 2.29 1.32 6.73 9.07 2.50 2.69 9.28 5.87 1.92 6.77 3.39 3.50 5.10 22.49 6.53 5.71 3.24 3.30 1.46 5.39